# NaAcNd2

A relaxed NaAcNd2 crystal (PBE, the Alexandria database).

abc: 3.7446 3.7446 12.7953
angles: 81.59 81.59 60.00
Element x y z (fractional)
Na: 0.6667 0.6667 0.0000
Ac: 0.5000 0.5000 0.5000
Nd: 0.0838 0.0838 0.7487
Nd: 0.2496 0.2496 0.2513

Values from the calculation:
- spin magnetization (μB per formula unit) = 0.0
- energy of formation from the pure elements (eV per atom) = 0.146
- offset from the most stable computed form (meV per atom) = 14
- uncorrected energy (eV per atom) = -3.594


# NaAc2Nd

A relaxed NaAc2Nd crystal (PBE, the Alexandria database).

abc: 3.8951 3.8951 12.9048
angles: 81.32 81.32 60.00
Element x y z (fractional)
Na: 0.6668 0.6668 0.9996
Ac: 0.0869 0.0869 0.7392
Ac: 0.2463 0.2463 0.2610
Nd: 0.4999 0.4999 0.5003

Values from the calculation:
- spin magnetization (μB per formula unit) = 0.0
- energy of formation from the pure elements (eV per atom) = 0.076
- offset from the most stable computed form (meV per atom) = 0
- uncorrected energy (eV per atom) = -3.500


# NaAcNd2

A relaxed NaAcNd2 crystal (PBE, the Alexandria database).

abc: 3.7651 3.7651 10.6977
angles: 90.00 90.00 90.00
Element x y z (fractional)
Na: 0.5000 0.5000 0.5000
Ac: 0.5000 0.5000 0.0000
Nd: 0.0000 0.0000 0.7568
Nd: 0.0000 0.0000 0.2432

Values from the calculation:
- spin magnetization (μB per formula unit) = 0.0
- energy of formation from the pure elements (eV per atom) = 0.132
- offset from the most stable computed form (meV per atom) = 0
- uncorrected energy (eV per atom) = -3.609


# NaAc2Nd

A relaxed NaAc2Nd crystal (PBE, the Alexandria database).

abc: 3.8488 3.8488 11.1816
angles: 90.00 90.00 90.00
Element x y z (fractional)
Na: 0.5000 0.5000 0.5000
Ac: 0.0000 0.0000 0.7640
Ac: 0.0000 0.0000 0.2360
Nd: 0.5000 0.5000 0.0000

Values from the calculation:
- spin magnetization (μB per formula unit) = 0.0
- energy of formation from the pure elements (eV per atom) = 0.079
- offset from the most stable computed form (meV per atom) = 3
- uncorrected energy (eV per atom) = -3.497


Density of states at the Fermi level, respectively: 6.66; 4.18; 5.11; 3.85 states/eV per cell.